The following is a DFT calculation (PBE-GGA) of a relaxed CsMgTe3 crystal.

Computed properties:
As for the energy above the most stable polymorph in this dataset: 0 meV per atom. The energy relative to the elements, uncorrected is -390 meV/atom. For the density of states at the Fermi level, the calculation gives 1.196 states/eV per atom.

a = 5.6890 Å, b = 5.6890 Å, c = 5.6890 Å
α = 90.00°, β = 90.00°, γ = 90.00°
Closest atoms and distances in Å follow each position.
Space group Pm-3m (No. 221)
One atom of each set of equivalent atoms:
1 Cs 0.0000 0.0000 0.0000  12 Te 4.02
2 Mg 0.5000 0.5000 0.5000  6 Te 2.84
3 Te 0.0000 0.5000 0.5000  2 Mg 2.84